{"formula": "Zn2ReMo", "functional": "GGA-PBE", "state": "relaxed", "lattice_angstrom": [[9.101, -0.009, -0.005], [8.671, 2.764, -0.005], [8.671, 1.344, 2.415]], "species": ["Mo", "Zn", "Zn", "Re"], "fractional_positions": [[0.498, 0.498, 0.498], [0.001, 0.001, 0.001], [0.250, 0.250, 0.250], [0.751, 0.751, 0.751]], "polymorph_energy_kj_per_mol_atoms": 4.9, "m_tot_mub_per_cell": 0.000, "formation_energy_ev_per_atom": 0.162}



{"formula": "ZnRe3Mo", "functional": "GGA-PBE", "state": "relaxed", "lattice_angstrom": [[-1.406, -0.448, 4.473], [2.011, -4.255, 0.206], [4.021, 1.971, 1.461]], "species": ["Re", "Re", "Re", "Zn", "Mo"], "fractional_positions": [[0.500, 0.000, 0.000], [0.000, 0.500, 0.000], [0.000, 0.000, 0.500], [0.500, 0.500, 0.500], [0.000, 0.000, 0.000]], "polymorph_energy_kj_per_mol_atoms": 26.6, "m_tot_mub_per_cell": 1.818, "formation_energy_ev_per_atom": 2.249}



{"formula": "Zn2ReMo", "functional": "GGA-PBE", "state": "relaxed", "lattice_angstrom": [[2.647, 0.000, 0.000], [0.000, 2.647, 0.000], [0.000, 0.000, 8.461]], "species": ["Re", "Zn", "Mo", "Zn"], "fractional_positions": [[0.500, 0.500, 0.750], [0.000, 0.000, 0.999], [0.500, 0.500, 0.250], [0.000, 0.000, 0.501]], "polymorph_energy_kj_per_mol_atoms": 16.8, "m_tot_mub_per_cell": 0.000, "formation_energy_ev_per_atom": 0.286}



{"formula": "ZnRe2Mo", "functional": "GGA-PBE", "state": "relaxed", "lattice_angstrom": [[-4.135, 1.439, 0.614], [-0.295, -1.713, 2.026], [1.617, 2.969, 3.930]], "species": ["Re", "Zn", "Mo", "Re"], "fractional_positions": [[0.000, 0.974, 0.007], [0.500, 0.250, 0.250], [0.500, 0.750, 0.750], [0.000, 0.526, 0.493]], "m_tot_mub_per_cell": 0.000, "formation_energy_ev_per_atom": 0.189}



{"formula": "ZnRe2Mo", "functional": "GGA-PBE", "state": "relaxed", "lattice_angstrom": [[-0.275, -8.587, 3.029], [-0.664, -9.081, 0.308], [1.924, -8.806, 1.321]], "species": ["Re", "Zn", "Re", "Mo"], "fractional_positions": [[0.000, 0.000, 0.000], [0.250, 0.250, 0.250], [0.500, 0.500, 0.500], [0.750, 0.750, 0.750]], "m_tot_mub_per_cell": 0.000, "formation_energy_ev_per_atom": 0.198}



{"formula": "ZnRe2Mo", "functional": "GGA-PBE", "state": "relaxed", "lattice_angstrom": [[2.690, -0.005, 0.000], [-0.944, 2.519, 0.000], [0.000, 0.000, 8.962]], "species": ["Re", "Mo", "Zn", "Re"], "fractional_positions": [[0.000, 0.000, 0.502], [0.500, 0.500, 0.750], [0.500, 0.500, 0.250], [0.000, 0.000, 0.998]], "m_tot_mub_per_cell": 0.000, "formation_energy_ev_per_atom": 0.180}